# 1
DFT (GGA-PBE) results for a geometry-optimized Mg2TeMo structure.

Values from the calculation:
DOS(E_F), states/eV per atom: 0.327
Energy relative to the elements, uncorrected, eV per formula unit: 1.0
Space group: Cmmm, No. 65

Cell: 3.025 3.025 9.673 Å, 90.00 90.00 100.94°
Element x y z (fractional)
Mg  0.000  0.000  0.209
Mg  0.000  0.000  0.791
Te  0.500  0.500  0.500
Mo  0.500  0.500  0.000

# 2
DFT (GGA-PBE) results for a geometry-optimized Hg5Pb2 structure.

Values from the calculation:
Calculated formation energy, eV/atom: 0.035
DOS(E_F), states/eV per atom: 0.365
Space group: I4/mmm, No. 139
Energy relative to the lowest polymorph listed for this composition, eV/atom: 0.008

Cell: 16.770 16.770 16.770 Å, 168.18 168.18 16.75°
Element x y z (fractional)
Hg  0.000  0.000  0.000
Hg  0.136  0.136  0.000
Hg  0.432  0.432  0.000
Hg  0.568  0.568  0.000
Hg  0.864  0.864  0.000
Pb  0.289  0.289  0.000
Pb  0.711  0.711  0.000

# 3
DFT (GGA-PBE) results for a geometry-optimized Dy5Ho3Cd structure.

Values from the calculation:
Calculated formation energy, eV/atom: 0.414
DOS(E_F), states/eV per atom: 1.484
Space group: C2/m, No. 12

Cell: 8.206 8.206 10.006 Å, 103.40 103.40 87.03°
Element x y z (fractional)
Dy  0.057  0.576  0.217
Dy  0.238  0.762  0.000
Dy  0.240  0.240  0.055
Dy  0.251  0.251  0.411
Dy  0.424  0.943  0.783
Dy  0.576  0.057  0.217
Dy  0.749  0.749  0.589
Dy  0.760  0.760  0.945
Dy  0.762  0.238  0.000
Dy  0.943  0.424  0.783
Ho  0.000  0.000  0.500
Ho  0.004  0.004  0.182
Ho  0.498  0.498  0.328
Ho  0.500  0.500  0.000
Ho  0.502  0.502  0.672
Ho  0.996  0.996  0.818
Cd  0.266  0.266  0.735
Cd  0.734  0.734  0.265

# 4
DFT (GGA-PBE) results for a geometry-optimized Tb12Ho2Er structure.

Values from the calculation:
Calculated formation energy, eV/atom: 0.335
DOS(E_F), states/eV per atom: 1.301
Space group: P4/nbm, No. 125

Cell: 6.385 6.385 24.890 Å, 90.00 90.00 90.00°
Element x y z (fractional)
Tb  0.065  0.565  0.115
Tb  0.065  0.935  0.885
Tb  0.082  0.582  0.438
Tb  0.082  0.918  0.562
Tb  0.250  0.250  0.215
Tb  0.250  0.250  0.339
Tb  0.250  0.250  0.661
Tb  0.250  0.250  0.785
Tb  0.418  0.582  0.562
Tb  0.418  0.918  0.438
Tb  0.435  0.565  0.885
Tb  0.435  0.935  0.115
Tb  0.565  0.065  0.885
Tb  0.565  0.435  0.115
Tb  0.582  0.082  0.562
Tb  0.582  0.418  0.438
Tb  0.750  0.750  0.215
Tb  0.750  0.750  0.339
Tb  0.750  0.750  0.661
Tb  0.750  0.750  0.785
Tb  0.918  0.082  0.438
Tb  0.918  0.418  0.562
Tb  0.935  0.065  0.115
Tb  0.935  0.435  0.885
Ho  0.250  0.750  0.273
Ho  0.250  0.750  0.727
Ho  0.750  0.250  0.273
Ho  0.750  0.250  0.727
Er  0.250  0.750  0.000
Er  0.750  0.250  0.000

# 5
DFT (GGA-PBE) results for a geometry-optimized Na2AlPbO4 structure.

Values from the calculation:
DOS(E_F), states/eV per atom: 0.334
Energy relative to the elements, uncorrected, eV per formula unit: -14.4
Space group: I-4, No. 82

Cell: 5.836 5.836 5.836 Å, 126.45 126.45 79.15°
Element x y z (fractional)
Na  0.000  0.000  0.000
Na  0.750  0.250  0.500
Al  0.250  0.750  0.500
Pb  0.500  0.500  0.000
O  0.161  0.068  0.513
O  0.352  0.839  0.907
O  0.555  0.648  0.487
O  0.932  0.445  0.093

Number 1: M_tot 0.00 μB/cell, VASP energy -4.046 eV per atom. Number 2: M_tot 0.00 μB/cell, VASP energy -1.240 eV per atom. Number 3: M_tot 0.00 μB/cell, VASP energy -3.770 eV per atom. Number 4: M_tot 0.00 μB/cell, VASP energy -4.284 eV per atom. Number 5: M_tot 0.79 μB/cell, VASP energy -5.537 eV per atom.